Record 1
VASP calculation (PBE-GGA) on a relaxed structure of Sm2Ga3Pt. Values from VASP.

Formation energy from the elements ... -0.853 eV per atom
Energy ... -4.946 eV/atom

Cell and atoms, written as Quantum ESPRESSO input:
```
&SYSTEM
  ibrav = 0, nat = 6, ntyp = 3
/
ATOMIC_SPECIES
Sm 150.36 Sm.upf
Ga 69.72 Ga.upf
Pt 195.08 Pt.upf
ATOMIC_POSITIONS crystal
Sm 0.000 0.000 0.000
Sm 0.089 0.089 0.597
Ga 0.378 0.378 0.203
Ga 0.700 0.700 0.001
Ga 0.709 0.709 0.404
Pt 0.376 0.376 0.587
CELL_PARAMETERS angstrom
5.241 -2.244 0.000
5.241 2.244 0.000
-4.968 0.000 5.372
```

Record 2
VASP calculation (PBE-GGA) on a relaxed structure of SmGaPt. Values from VASP.

Formation energy from the elements ... -1.054 eV per atom
Energy ... -5.650 eV/atom

Cell and atoms, written as Quantum ESPRESSO input:
```
&SYSTEM
  ibrav = 0, nat = 18, ntyp = 3
/
ATOMIC_SPECIES
Sm 150.36 Sm.upf
Ga 69.72 Ga.upf
Pt 195.08 Pt.upf
ATOMIC_POSITIONS crystal
Sm 0.000 0.000 0.000
Sm 0.248 0.084 0.164
Sm 0.314 0.985 0.329
Sm 0.575 0.075 0.500
Sm 0.656 0.985 0.671
Sm 0.920 0.084 0.836
Ga 0.088 0.363 0.725
Ga 0.140 0.703 0.437
Ga 0.267 0.703 0.563
Ga 0.600 0.705 0.894
Ga 0.638 0.363 0.275
Ga 0.811 0.705 0.106
Pt 0.303 0.378 0.925
Pt 0.453 0.691 0.762
Pt 0.454 0.378 0.075
Pt 0.773 0.370 0.403
Pt 0.929 0.691 0.238
Pt 0.968 0.370 0.597
CELL_PARAMETERS angstrom
-2.237 10.745 3.864
2.237 -10.745 3.864
2.237 10.745 -3.864
```

Record 3
VASP calculation (PBE-GGA) on a relaxed structure of Sm3Ga5Pt6. Values from VASP.

Formation energy from the elements ... -0.941 eV per atom
Energy ... -5.622 eV/atom

Cell and atoms, written as Quantum ESPRESSO input:
```
&SYSTEM
  ibrav = 0, nat = 28, ntyp = 3
/
ATOMIC_SPECIES
Sm 150.36 Sm.upf
Ga 69.72 Ga.upf
Pt 195.08 Pt.upf
ATOMIC_POSITIONS crystal
Sm 0.250 0.080 0.250
Sm 0.250 0.420 0.250
Sm 0.250 0.750 0.249
Sm 0.750 0.250 0.751
Sm 0.750 0.580 0.750
Sm 0.750 0.920 0.750
Ga 0.250 0.083 0.853
Ga 0.250 0.417 0.853
Ga 0.250 0.636 0.523
Ga 0.250 0.750 0.850
Ga 0.250 0.864 0.523
Ga 0.750 0.136 0.477
Ga 0.750 0.250 0.150
Ga 0.750 0.364 0.477
Ga 0.750 0.583 0.147
Ga 0.750 0.917 0.147
Pt 0.250 0.048 0.601
Pt 0.250 0.250 0.501
Pt 0.250 0.250 0.995
Pt 0.250 0.452 0.601
Pt 0.250 0.585 0.002
Pt 0.250 0.915 0.002
Pt 0.750 0.085 0.998
Pt 0.750 0.415 0.998
Pt 0.750 0.548 0.399
Pt 0.750 0.750 0.005
Pt 0.750 0.750 0.499
Pt 0.750 0.952 0.399
CELL_PARAMETERS angstrom
4.228 0.000 0.000
0.000 12.906 0.000
0.000 0.000 9.819
```

Record 4
VASP calculation (PBE-GGA) on a relaxed structure of Sm2GaPt3. Values from VASP.

Formation energy from the elements ... -0.979 eV per atom
Energy ... -6.077 eV/atom

Cell and atoms, written as Quantum ESPRESSO input:
```
&SYSTEM
  ibrav = 0, nat = 12, ntyp = 3
/
ATOMIC_SPECIES
Sm 150.36 Sm.upf
Ga 69.72 Ga.upf
Pt 195.08 Pt.upf
ATOMIC_POSITIONS crystal
Sm 0.000 0.000 0.123
Sm 0.000 0.000 0.377
Sm 0.000 0.000 0.623
Sm 0.000 0.000 0.877
Ga 0.333 0.667 0.250
Ga 0.667 0.333 0.750
Pt 0.333 0.667 0.021
Pt 0.333 0.667 0.479
Pt 0.333 0.667 0.750
Pt 0.667 0.333 0.250
Pt 0.667 0.333 0.521
Pt 0.667 0.333 0.979
CELL_PARAMETERS angstrom
4.481 0.000 0.000
-2.240 3.880 0.000
0.000 0.000 14.803
```

Record 5
VASP calculation (PBE-GGA) on a relaxed structure of Sm2Ga8Pt. Values from VASP.

Formation energy from the elements ... -0.565 eV per atom
Energy ... -4.174 eV/atom

Cell and atoms, written as Quantum ESPRESSO input:
```
&SYSTEM
  ibrav = 0, nat = 11, ntyp = 3
/
ATOMIC_SPECIES
Sm 150.36 Sm.upf
Ga 69.72 Ga.upf
Pt 195.08 Pt.upf
ATOMIC_POSITIONS crystal
Sm 0.000 0.000 0.192
Sm 0.000 0.000 0.808
Ga 0.000 0.500 0.000
Ga 0.000 0.500 0.376
Ga 0.000 0.500 0.624
Ga 0.500 0.000 0.000
Ga 0.500 0.000 0.376
Ga 0.500 0.000 0.624
Ga 0.500 0.500 0.193
Ga 0.500 0.500 0.807
Pt 0.000 0.000 0.500
CELL_PARAMETERS angstrom
4.375 0.000 0.000
0.000 4.375 0.000
0.000 0.000 11.296
```

Record 6
VASP calculation (PBE-GGA) on a relaxed structure of SmGa4Pt12. Values from VASP.

Formation energy from the elements ... -0.166 eV per atom
Energy ... -5.420 eV/atom

Cell and atoms, written as Quantum ESPRESSO input:
```
&SYSTEM
  ibrav = 0, nat = 17, ntyp = 3
/
ATOMIC_SPECIES
Sm 150.36 Sm.upf
Ga 69.72 Ga.upf
Pt 195.08 Pt.upf
ATOMIC_POSITIONS crystal
Sm 0.000 0.000 0.000
Ga 0.000 0.000 0.500
Ga 0.000 0.500 0.000
Ga 0.500 0.000 0.000
Ga 0.500 0.500 0.500
Pt 0.153 0.346 0.499
Pt 0.153 0.654 0.807
Pt 0.193 0.847 0.346
Pt 0.346 0.193 0.847
Pt 0.346 0.499 0.153
Pt 0.499 0.153 0.346
Pt 0.501 0.847 0.654
Pt 0.654 0.501 0.847
Pt 0.654 0.807 0.153
Pt 0.807 0.153 0.654
Pt 0.847 0.346 0.193
Pt 0.847 0.654 0.501
CELL_PARAMETERS angstrom
-4.293 4.293 4.293
4.293 -4.293 4.293
4.293 4.293 -4.293
```

Record 7
VASP calculation (PBE-GGA) on a relaxed structure of SmGa6Pt4. Values from VASP.

Formation energy from the elements ... -0.769 eV per atom
Energy ... -5.046 eV/atom

Cell and atoms, written as Quantum ESPRESSO input:
```
&SYSTEM
  ibrav = 0, nat = 11, ntyp = 3
/
ATOMIC_SPECIES
Sm 150.36 Sm.upf
Ga 69.72 Ga.upf
Pt 195.08 Pt.upf
ATOMIC_POSITIONS crystal
Sm 0.000 0.000 0.000
Ga 0.196 0.391 0.500
Ga 0.196 0.804 0.500
Ga 0.533 0.066 0.000
Ga 0.533 0.467 0.000
Ga 0.609 0.804 0.500
Ga 0.934 0.467 0.000
Pt 0.333 0.667 0.000
Pt 0.401 0.201 0.500
Pt 0.799 0.201 0.500
Pt 0.799 0.599 0.500
CELL_PARAMETERS angstrom
7.435 0.000 0.000
-3.717 6.439 0.000
0.000 0.000 4.020
```

Record 8
VASP calculation (PBE-GGA) on a relaxed structure of Sm3Ga3Pt2. Values from VASP.

Formation energy from the elements ... -0.905 eV per atom
Energy ... -5.320 eV/atom

Cell and atoms, written as Quantum ESPRESSO input:
```
&SYSTEM
  ibrav = 0, nat = 32, ntyp = 3
/
ATOMIC_SPECIES
Sm 150.36 Sm.upf
Ga 69.72 Ga.upf
Pt 195.08 Pt.upf
ATOMIC_POSITIONS crystal
Sm 0.042 0.109 0.123
Sm 0.042 0.391 0.123
Sm 0.183 0.250 0.631
Sm 0.317 0.750 0.131
Sm 0.458 0.609 0.623
Sm 0.458 0.891 0.623
Sm 0.542 0.109 0.377
Sm 0.542 0.391 0.377
Sm 0.683 0.250 0.869
Sm 0.817 0.750 0.369
Sm 0.958 0.609 0.877
Sm 0.958 0.891 0.877
Ga 0.166 0.750 0.626
Ga 0.185 0.036 0.613
Ga 0.185 0.464 0.613
Ga 0.315 0.536 0.113
Ga 0.315 0.964 0.113
Ga 0.334 0.250 0.126
Ga 0.666 0.750 0.874
Ga 0.685 0.036 0.887
Ga 0.685 0.464 0.887
Ga 0.815 0.536 0.387
Ga 0.815 0.964 0.387
Ga 0.834 0.250 0.374
Pt 0.099 0.608 0.373
Pt 0.099 0.892 0.373
Pt 0.401 0.108 0.873
Pt 0.401 0.392 0.873
Pt 0.599 0.608 0.127
Pt 0.599 0.892 0.127
Pt 0.901 0.108 0.627
Pt 0.901 0.392 0.627
CELL_PARAMETERS angstrom
8.186 0.000 0.000
0.000 15.118 0.000
0.000 0.000 5.707
```